## KSr2Ca (PBEsol)

Data for a relaxed KSr2Ca crystal.

Cell lengths 4.1440, 4.1440, 41.8749 Å; angles 90.00, 90.00, 120.00 degrees
With the nearest neighbours (Å) after each atom.
Space group R-3m (No. 166, hexagonal axes)
Symmetry-distinct sites (fractional):
K: 0.0000 0.0000 0.0000 x3  6 K 4.14, 6 Sr 4.47
Sr: 0.0000 0.0000 0.2432 x6  3 Ca 4.00, 6 Sr 4.14, 3 K 4.47
Ca: 0.0000 0.0000 0.5000 x3  6 Sr 4.00, 6 Ca 4.14

The total energy is -1.670 eV/atom. The calculation puts the calculated formation energy at 67 meV/atom. For the energy above the most stable polymorph in this dataset, the calculation gives 0.000 eV/atom. The value obtained for the size of the total moment is 0.000 μB/atom.